Record 1
A relaxed structure of HfGeIr2Pd, computed with PBE.

## Properties
**SG**: No. 123
**E_form**: 5.58 eV/f.u.

Unit cell a=4.8536 b=4.8536 c=4.8910 alpha=90.00 beta=90.00 gamma=90.00
Positions (direct):
Hf (0.0000, 0.0000, 0.0000)
Ge (0.5000, 0.5000, 0.5000)
Ir (0.0000, 0.5000, 0.0000)
Ir (0.5000, 0.0000, 0.0000)
Pd (0.0000, 0.0000, 0.5000)


Record 2
A relaxed structure of HfGeIrPd, computed with PBE.

## Properties
**SG**: No. 216
**E_form**: -2.32 eV/f.u.

Unit cell a=4.5397 b=4.5397 c=4.5397 alpha=60.00 beta=60.00 gamma=60.00
Positions (direct):
Hf (0.0000, 0.0000, 0.0000)
Ge (0.5000, 0.5000, 0.5000)
Ir (0.7500, 0.7500, 0.7500)
Pd (0.2500, 0.2500, 0.2500)


Record 3
A relaxed structure of Hf2GeIrPd, computed with PBE.

## Properties
**SG**: No. 123
**E_form**: 2.85 eV/f.u.

Unit cell a=4.9709 b=4.9709 c=4.4341 alpha=90.00 beta=90.00 gamma=90.00
Positions (direct):
Hf (0.0000, 0.5000, 0.0000)
Hf (0.5000, 0.0000, 0.0000)
Ge (0.0000, 0.0000, 0.5000)
Ir (0.5000, 0.5000, 0.5000)
Pd (0.0000, 0.0000, 0.0000)


Record 4
A relaxed structure of HfGeIrRh, computed with PBE.

## Properties
**SG**: No. 216
**E_form**: -2.48 eV/f.u.

Unit cell a=4.4967 b=4.4967 c=4.4967 alpha=60.00 beta=60.00 gamma=60.00
Positions (direct):
Hf (0.0000, 0.0000, 0.0000)
Ge (0.5000, 0.5000, 0.5000)
Ir (0.7500, 0.7500, 0.7500)
Rh (0.2500, 0.2500, 0.2500)


Record 5
A relaxed structure of Hf2GeIrSe, computed with PBE.

## Properties
**SG**: No. 123
**Energy relative to the elements, uncorrected**: 0.898 eV/atom

Unit cell a=4.9758 b=4.9758 c=4.6258 alpha=90.00 beta=90.00 gamma=90.00
Positions (direct):
Hf (0.0000, 0.5000, 0.0000)
Hf (0.5000, 0.0000, 0.0000)
Ge (0.0000, 0.0000, 0.0000)
Ir (0.5000, 0.5000, 0.5000)
Se (0.0000, 0.0000, 0.5000)


Record 6
A relaxed structure of HfSiGeIr2, computed with PBE.

## Properties
**SG**: No. 123
**Energy relative to the elements, uncorrected**: 1.288 eV/atom

Unit cell a=4.8771 b=4.8771 c=4.9707 alpha=90.00 beta=90.00 gamma=90.00
Positions (direct):
Hf (0.0000, 0.0000, 0.0000)
Si (0.0000, 0.0000, 0.5000)
Ge (0.5000, 0.5000, 0.5000)
Ir (0.0000, 0.5000, 0.0000)
Ir (0.5000, 0.0000, 0.0000)


Record 7
A relaxed structure of HfSiGe2Ir, computed with PBE.

## Properties
**SG**: No. 123
**Energy relative to the elements, uncorrected**: 0.512 eV/atom

Unit cell a=4.7384 b=4.7384 c=4.3938 alpha=90.00 beta=90.00 gamma=90.00
Positions (direct):
Hf (0.0000, 0.0000, 0.0000)
Si (0.5000, 0.5000, 0.5000)
Ge (0.0000, 0.5000, 0.5000)
Ge (0.5000, 0.0000, 0.5000)
Ir (0.5000, 0.5000, 0.0000)


Record 8
A relaxed structure of HfTaGeIr2, computed with PBE.

## Properties
**SG**: No. 123
**E_form**: 4.34 eV/f.u.

Unit cell a=4.7722 b=4.7722 c=4.7829 alpha=90.00 beta=90.00 gamma=90.00
Positions (direct):
Hf (0.0000, 0.0000, 0.0000)
Ta (0.5000, 0.5000, 0.5000)
Ge (0.5000, 0.5000, 0.0000)
Ir (0.0000, 0.5000, 0.5000)
Ir (0.5000, 0.0000, 0.5000)


Record 9
A relaxed structure of Tb2HfGe3Ir4, computed with PBE.

## Properties
**SG**: No. 115
**E_form**: -8.35 eV/f.u.

Unit cell a=4.1373 b=4.1373 c=10.9985 alpha=90.00 beta=90.00 gamma=90.00
Positions (direct):
Tb (0.0000, 0.5000, 0.2311)
Tb (0.5000, 0.0000, 0.7689)
Hf (0.0000, 0.0000, 0.5000)
Ge (0.0000, 0.5000, 0.8729)
Ge (0.5000, 0.0000, 0.1271)
Ge (0.5000, 0.5000, 0.5000)
Ir (0.0000, 0.0000, 0.0000)
Ir (0.0000, 0.5000, 0.6495)
Ir (0.5000, 0.0000, 0.3505)
Ir (0.5000, 0.5000, 0.0000)


Record 10
A relaxed structure of HfTcGeIr, computed with PBE.

## Properties
**SG**: No. 216
**E_form**: -2.21 eV/f.u.

Unit cell a=4.4666 b=4.4666 c=4.4666 alpha=60.00 beta=60.00 gamma=60.00
Positions (direct):
Hf (0.0000, 0.0000, 0.0000)
Tc (0.7500, 0.7500, 0.7500)
Ge (0.5000, 0.5000, 0.5000)
Ir (0.2500, 0.2500, 0.2500)


Record 11
A relaxed structure of HfTh2Ge3Ir4, computed with PBE.

## Properties
**SG**: No. 115
**E_form**: -8.53 eV/f.u.

Unit cell a=4.1789 b=4.1789 c=11.0822 alpha=90.00 beta=90.00 gamma=90.00
Positions (direct):
Hf (0.0000, 0.0000, 0.0000)
Th (0.0000, 0.5000, 0.7318)
Th (0.5000, 0.0000, 0.2682)
Ge (0.0000, 0.5000, 0.3729)
Ge (0.5000, 0.0000, 0.6271)
Ge (0.5000, 0.5000, 0.0000)
Ir (0.0000, 0.0000, 0.5000)
Ir (0.0000, 0.5000, 0.1482)
Ir (0.5000, 0.0000, 0.8518)
Ir (0.5000, 0.5000, 0.5000)


Record 12
A relaxed structure of HfThGe2Ir5, computed with PBE.

## Properties
**SG**: No. 123
**E_form**: -3.71 eV/f.u.

Unit cell a=4.0141 b=4.0141 c=11.4099 alpha=90.00 beta=90.00 gamma=90.00
Positions (direct):
Hf (0.0000, 0.0000, 0.0000)
Th (0.0000, 0.0000, 0.5000)
Ge (0.5000, 0.5000, 0.2859)
Ge (0.5000, 0.5000, 0.7141)
Ir (0.0000, 0.5000, 0.1641)
Ir (0.0000, 0.5000, 0.8359)
Ir (0.5000, 0.0000, 0.1641)
Ir (0.5000, 0.0000, 0.8359)
Ir (0.5000, 0.5000, 0.5000)


Record 13
A relaxed structure of Y2HfGeIr, computed with PBE.

## Properties
**SG**: No. 123
**E_form**: -0.61 eV/f.u.

Unit cell a=5.3641 b=5.3641 c=4.9660 alpha=90.00 beta=90.00 gamma=90.00
Positions (direct):
Y (0.0000, 0.5000, 0.0000)
Y (0.5000, 0.0000, 0.0000)
Hf (0.0000, 0.0000, 0.5000)
Ge (0.5000, 0.5000, 0.5000)
Ir (0.0000, 0.0000, 0.0000)


Record 14
A relaxed structure of KHf2Ge, computed with PBE.

## Properties
**SG**: No. 122
**E_form**: 3.47 eV/f.u.

Unit cell a=10.2992 b=10.2992 c=10.2992 alpha=149.53 beta=149.53 gamma=43.64
Positions (direct):
K (0.0000, 0.0000, 0.0000)
K (0.7500, 0.2500, 0.5000)
Hf (0.3588, 0.1250, 0.7338)
Hf (0.3750, 0.6412, 0.7662)
Hf (0.3912, 0.6250, 0.2662)
Hf (0.8750, 0.6088, 0.2338)
Ge (0.2500, 0.7500, 0.5000)
Ge (0.5000, 0.5000, 0.0000)


Record 15
A relaxed structure of K2HfGe, computed with PBE.

## Properties
**SG**: No. 122
**E_form**: 2.39 eV/f.u.

Unit cell a=9.6427 b=9.6427 c=9.6427 alpha=94.14 beta=94.14 gamma=148.82
Positions (direct):
K (0.3750, 0.1847, 0.3097)
K (0.8153, 0.1250, 0.1903)
K (0.8750, 0.0653, 0.6903)
K (0.9347, 0.6250, 0.8097)
Hf (0.2500, 0.7500, 0.5000)
Hf (0.5000, 0.5000, 0.0000)
Ge (0.0000, 0.0000, 0.0000)
Ge (0.7500, 0.2500, 0.5000)


Record 16
A relaxed structure of K2HfMgGe, computed with PBE.

## Properties
**SG**: No. 123
**E_form**: 7.39 eV/f.u.

Unit cell a=6.5278 b=6.5278 c=5.6853 alpha=90.00 beta=90.00 gamma=90.00
Positions (direct):
K (0.0000, 0.5000, 0.0000)
K (0.5000, 0.0000, 0.0000)
Hf (0.0000, 0.0000, 0.0000)
Mg (0.0000, 0.0000, 0.5000)
Ge (0.5000, 0.5000, 0.5000)


Record 17
A relaxed structure of KHfGeN3, computed with PBE.

## Properties
**SG**: No. 11
**Energy relative to the elements, uncorrected**: -0.640 eV/atom

Unit cell a=7.4354 b=3.2340 c=9.2711 alpha=90.00 beta=98.97 gamma=90.00
Positions (direct):
K (0.1533, 0.2500, 0.2068)
K (0.8467, 0.7500, 0.7932)
Hf (0.3920, 0.7500, 0.8749)
Hf (0.6080, 0.2500, 0.1251)
Ge (0.1280, 0.2500, 0.5853)
Ge (0.8720, 0.7500, 0.4147)
N (0.1426, 0.7500, 0.4749)
N (0.2116, 0.2500, 0.7774)
N (0.4104, 0.7500, 0.0940)
N (0.5896, 0.2500, 0.9060)
N (0.7884, 0.7500, 0.2226)
N (0.8574, 0.2500, 0.5251)


Record 18
A relaxed structure of K2HfNbGe, computed with PBE.

## Properties
**SG**: No. 123
**E_form**: 7.90 eV/f.u.

Unit cell a=6.2293 b=6.2293 c=4.9630 alpha=90.00 beta=90.00 gamma=90.00
Positions (direct):
K (0.0000, 0.5000, 0.0000)
K (0.5000, 0.0000, 0.0000)
Hf (0.0000, 0.0000, 0.5000)
Nb (0.0000, 0.0000, 0.0000)
Ge (0.5000, 0.5000, 0.5000)


Record 19
A relaxed structure of K2HfGeS5, computed with PBE.

## Properties
**SG**: No. 36
**Energy relative to the elements, uncorrected**: -1.116 eV/atom

Unit cell a=9.6328 b=9.6328 c=13.7465 alpha=90.00 beta=90.00 gamma=157.51
Positions (direct):
K (0.1233, 0.8767, 0.5000)
K (0.1281, 0.8719, 0.1478)
K (0.8719, 0.1281, 0.6478)
K (0.8767, 0.1233, 0.0000)
Hf (0.2124, 0.7876, 0.8581)
Hf (0.7876, 0.2124, 0.3581)
Ge (0.4325, 0.5675, 0.2437)
Ge (0.5675, 0.4325, 0.7437)
S (0.0569, 0.9431, 0.8474)
S (0.3010, 0.6990, 0.4769)
S (0.3138, 0.6862, 0.2222)
S (0.3329, 0.6671, 0.8261)
S (0.4915, 0.5085, 0.1122)
S (0.5085, 0.4915, 0.6122)
S (0.6671, 0.3329, 0.3261)
S (0.6862, 0.3138, 0.7222)
S (0.6990, 0.3010, 0.9769)
S (0.9431, 0.0569, 0.3474)


Record 20
A relaxed structure of K2HfGeSe5, computed with PBE.

## Properties
**SG**: No. 36
**Energy relative to the elements, uncorrected**: -1.000 eV/atom

Unit cell a=10.0964 b=10.0964 c=14.1967 alpha=90.00 beta=90.00 gamma=157.51
Positions (direct):
K (0.1239, 0.8761, 0.5000)
K (0.1305, 0.8695, 0.8552)
K (0.8695, 0.1305, 0.3552)
K (0.8761, 0.1239, 0.0000)
Hf (0.2109, 0.7891, 0.2078)
Hf (0.7891, 0.2109, 0.7078)
Ge (0.4312, 0.5688, 0.5898)
Ge (0.5688, 0.4312, 0.0898)
Se (0.0587, 0.9413, 0.1988)
Se (0.3051, 0.6949, 0.8297)
Se (0.3102, 0.6898, 0.5682)
Se (0.3330, 0.6670, 0.1769)
Se (0.4909, 0.5091, 0.4526)
Se (0.5091, 0.4909, 0.9526)
Se (0.6670, 0.3330, 0.6769)
Se (0.6898, 0.3102, 0.0682)
Se (0.6949, 0.3051, 0.3297)
Se (0.9413, 0.0587, 0.6988)


| no. | ρ (g/cm³) | total energy (eV/atom) |
| --- | --- | --- |
| 1 | 10.69 | -6.3803 |
| 2 | 13.80 | -7.7367 |
| 3 | 11.04 | -7.1456 |
| 4 | 14.11 | -8.3167 |
| 5 | 10.16 | -6.4763 |
| 6 | 9.32 | -6.2553 |
| 7 | 9.16 | -6.1828 |
| 8 | 12.45 | -7.9611 |
| 9 | 13.08 | -7.6857 |
| 10 | 14.27 | -9.0021 |
| 11 | 13.98 | -8.2615 |
| 12 | 13.70 | -8.2909 |
| 13 | 7.22 | -7.3941 |
| 14 | 5.56 | -5.5375 |
| 15 | 2.45 | -3.5938 |
| 16 | 2.42 | -2.1950 |
| 17 | 5.01 | -7.4137 |
| 18 | 3.64 | -3.7869 |
| 19 | 3.33 | -5.2724 |
| 20 | 4.34 | -4.7990 |